[1]
8
Lattice="4.351 0.000 0.000 0.000 4.351 0.000 2.175 2.175 9.999" Properties=species:S:1:pos:R:3 comment="GGA-PBE TaTl2Ag, relaxed" ef_ev_per_fu=3.43 sg="No. 122" dft_energy_ev_per_atom=-4.00 vol_a3_per_cell=189.3 e_above_lowest_polymorph_ev_per_atom=0.414 n_ef_per_ev_atom=1.126 pbc="T T T"
Tl 3.294 1.088 2.500
Tl 1.057 3.263 2.500
Tl 3.263 3.232 7.499
Tl 5.438 5.469 7.499
Ag 2.175 2.175 0.000
Ag 2.175 4.351 4.999
Ta 0.000 0.000 0.000
Ta 4.351 2.175 4.999

[2]
4
Lattice="-2.120 -1.267 1.780 -1.619 -0.754 -2.465 4.447 -8.075 -0.450" Properties=species:S:1:pos:R:3 comment="GGA-PBE TaTl2Ag, relaxed" ef_ev_per_fu=2.02 sg="No. 123" dft_energy_ev_per_atom=-4.35 vol_a3_per_cell=85.5 e_above_lowest_polymorph_ev_per_atom=0.063 n_ef_per_ev_atom=0.697 pbc="T T T"
Tl 4.440 -8.062 -0.449
Tl 2.231 -4.051 -0.226
Ag -0.758 -3.029 -0.455
Ta 1.466 -7.067 -0.680